No. 1
Material: Er2TlSnPt4
Method: DFT, PBE
State: optimized geometry

Geometry as POSCAR:
```
Er2TlSnPt4
1.0
-0.1613 4.5771 0.2741
-3.1786 -2.5387 2.1219
5.1288 -0.2607 7.3707
Er Tl Pt Sn
2 1 4 1
Direct
0.3333 0.6667 0.7493 Er
0.6667 0.3333 0.2507 Er
0.0000 0.0000 0.5000 Tl
0.6667 0.3333 0.5974 Pt
0.3333 0.6667 0.0889 Pt
0.3333 0.6667 0.4026 Pt
0.6667 0.3333 0.9111 Pt
0.0000 0.0000 0.0000 Sn
```

## Properties
Magnetic moment, μB/f.u.: 0.00
DFT total energy, eV per atom: -5.8411

***

No. 2
Material: YEr2Sn3Pt3
Method: DFT, PBE
State: optimized geometry

Geometry as POSCAR:
```
YEr2Sn3Pt3
1.0
4.0092 0.0000 0.0000
0.0000 6.4983 3.7401
0.0000 -6.4983 3.7401
Y Pt Sn Er
1 3 3 2
Direct
0.0000 0.5944 0.5944 Y
0.5000 0.3306 0.6673 Pt
0.5000 0.6673 0.3306 Pt
0.0000 0.0021 0.0021 Pt
0.5000 0.7409 0.9997 Sn
0.5000 0.9997 0.7409 Sn
0.5000 0.2599 0.2599 Sn
0.0000 0.0000 0.4052 Er
0.0000 0.4052 0.0000 Er
```

## Properties
Magnetic moment, μB/f.u.: 0.00
DFT total energy, eV per atom: -6.1806

***

No. 3
Material: Y2ErSn3Pt3
Method: DFT, PBE
State: optimized geometry

Geometry as POSCAR:
```
Y2ErSn3Pt3
1.0
-2.8656 2.7733 -0.5125
-2.3889 -3.6014 -6.1306
-2.8763 -1.7325 6.7072
Sn Y Pt Er
3 2 3 1
Direct
0.5000 0.7409 0.0001 Sn
0.5000 0.2583 0.2583 Sn
0.5000 0.0001 0.7409 Sn
0.0000 0.4055 0.0000 Y
0.0000 0.0000 0.4055 Y
0.5000 0.3362 0.6661 Pt
0.0000 0.9980 0.9980 Pt
0.5000 0.6661 0.3362 Pt
0.0000 0.5949 0.5949 Er
```

## Properties
Magnetic moment, μB/f.u.: 0.00
DFT total energy, eV per atom: -6.3929

***

No. 4
Material: ErTaPt
Method: DFT, PBE
State: optimized geometry

Geometry as POSCAR:
```
ErTaPt
1.0
0.0000 3.2457 3.2457
3.2457 0.0000 3.2457
3.2457 3.2457 0.0000
Er Pt Ta
1 1 1
Direct
0.0000 0.0000 0.0000 Er
0.2500 0.2500 0.2500 Pt
0.7500 0.7500 0.7500 Ta
```

## Properties
Magnetic moment, μB/f.u.: 1.60
DFT total energy, eV per atom: -6.6879
Distance to the lowest polymorph of the same formula, eV per formula unit: 2.980

***

No. 5
Material: ErTaPt
Method: DFT, PBE
State: optimized geometry

Geometry as POSCAR:
```
ErTaPt
1.0
0.0000 3.2477 3.2477
3.2477 0.0000 3.2477
3.2477 3.2477 0.0000
Er Pt Ta
1 1 1
Direct
0.2500 0.2500 0.2500 Er
0.0000 0.0000 0.0000 Pt
0.7500 0.7500 0.7500 Ta
```

## Properties
Magnetic moment, μB/f.u.: 0.00
DFT total energy, eV per atom: -7.6814
Distance to the lowest polymorph of the same formula, eV per formula unit: 0.000

***

No. 6
Material: TbErPt2
Method: DFT, PBE
State: optimized geometry

Geometry as POSCAR:
```
TbErPt2
1.0
4.5018 0.0000 0.0000
0.0000 6.9968 0.0000
0.0000 0.0000 5.5602
Pt Tb Er
4 2 2
Direct
0.5000 0.2890 0.3439 Pt
0.0000 0.2001 0.6560 Pt
0.0000 0.7110 0.8439 Pt
0.5000 0.7999 0.1560 Pt
0.0000 0.5689 0.3594 Tb
0.5000 0.4311 0.8594 Tb
0.0000 0.0676 0.1407 Er
0.5000 0.9324 0.6407 Er
```

## Properties
Magnetic moment, μB/f.u.: 0.02
DFT total energy, eV per atom: -6.6199

***

No. 7
Material: TbEr3Pt4
Method: DFT, PBE
State: optimized geometry

Geometry as POSCAR:
```
TbEr3Pt4
1.0
5.5337 0.0000 0.0000
0.0000 4.4880 0.0000
-0.0259 0.0000 6.9906
Er Pt Tb
3 4 1
Direct
0.1415 0.5000 0.6823 Er
0.6410 0.0000 0.8187 Er
0.3591 0.5000 0.1813 Er
0.1580 0.0000 0.9543 Pt
0.8431 0.5000 0.0400 Pt
0.3444 0.0000 0.4575 Pt
0.6544 0.5000 0.5478 Pt
0.8586 0.0000 0.3181 Tb
```

## Properties
Magnetic moment, μB/f.u.: 0.04
DFT total energy, eV per atom: -6.6219

***

No. 8
Material: TbErPt2
Method: DFT, PBE
State: optimized geometry

Geometry as POSCAR:
```
TbErPt2
1.0
-0.2276 2.5115 3.7215
3.4768 -3.4944 2.5709
5.4591 3.7936 -2.2263
Pt Er Tb
4 2 2
Direct
0.0000 0.0957 0.0445 Pt
0.5000 0.4062 0.9550 Pt
0.0000 0.9043 0.5445 Pt
0.5000 0.5938 0.4550 Pt
0.0000 0.3906 0.6822 Er
0.0000 0.6094 0.1822 Er
0.5000 0.8899 0.8184 Tb
0.5000 0.1101 0.3184 Tb
```

## Properties
Magnetic moment, μB/f.u.: 0.02
DFT total energy, eV per atom: -6.6183

***

No. 9
Material: TbErPt2
Method: DFT, PBE
State: optimized geometry

Geometry as POSCAR:
```
TbErPt2
1.0
5.5614 0.0000 0.0000
0.0000 4.4971 0.0000
-0.0639 0.0000 7.0015
Tb Pt Er
2 4 2
Direct
0.1408 0.7500 0.6826 Tb
0.8592 0.2500 0.3174 Tb
0.3465 0.2500 0.4536 Pt
0.8422 0.7500 0.0431 Pt
0.1578 0.2500 0.9569 Pt
0.6535 0.7500 0.5464 Pt
0.3602 0.7500 0.1812 Er
0.6398 0.2500 0.8188 Er
```

## Properties
Magnetic moment, μB/f.u.: 0.02
DFT total energy, eV per atom: -6.6187

***

No. 10
Material: Er3Te5Pt
Method: DFT, PBE
State: optimized geometry

Geometry as POSCAR:
```
Er3Te5Pt
1.0
-5.4016 0.4757 6.6648
-2.9292 -2.2766 -7.7498
0.6791 -3.6292 0.8094
Pt Te Er
1 5 3
Direct
0.0000 0.0000 0.0000 Pt
0.6667 0.3333 0.5000 Te
0.0000 0.2429 0.5000 Te
0.7571 0.7571 0.5000 Te
0.2429 0.0000 0.5000 Te
0.3333 0.6667 0.5000 Te
0.6457 0.0000 0.0000 Er
0.3543 0.3543 0.0000 Er
0.0000 0.6457 0.0000 Er
```

## Properties
Magnetic moment, μB/f.u.: 0.00
DFT total energy, eV per atom: -4.7015
Distance to the lowest polymorph of the same formula, eV per formula unit: 1.165

***

No. 11
Material: Er2Te6Pt
Method: DFT, PBE
State: optimized geometry

Geometry as POSCAR:
```
Er2Te6Pt
1.0
8.3380 0.0000 0.0000
-4.1690 7.2209 0.0000
0.0000 0.0000 3.9986
Te Er Pt
6 2 1
Direct
0.7694 0.7694 0.5000 Te
0.0000 0.2306 0.5000 Te
0.4534 0.4534 0.0000 Te
0.2306 0.0000 0.5000 Te
0.5466 0.0000 0.0000 Te
0.0000 0.5466 0.0000 Te
0.6667 0.3333 0.5000 Er
0.3333 0.6667 0.5000 Er
0.0000 0.0000 0.0000 Pt
```

## Properties
Magnetic moment, μB/f.u.: 0.00
DFT total energy, eV per atom: -4.5317

***

No. 12
Material: Er3Te5Pt
Method: DFT, PBE
State: optimized geometry

Geometry as POSCAR:
```
Er3Te5Pt
1.0
-7.2984 4.3963 1.7115
3.9844 -4.4361 6.3221
2.1574 3.2288 0.9059
Te Er Pt
5 3 1
Direct
0.6958 0.0000 0.0000 Te
0.0000 0.6958 0.0000 Te
0.3042 0.3042 0.0000 Te
0.3333 0.6667 0.5000 Te
0.6667 0.3333 0.5000 Te
0.7302 0.7302 0.5000 Er
0.2698 0.0000 0.5000 Er
0.0000 0.2698 0.5000 Er
0.0000 0.0000 0.0000 Pt
```

## Properties
Magnetic moment, μB/f.u.: 0.01
DFT total energy, eV per atom: -4.8309
Distance to the lowest polymorph of the same formula, eV per formula unit: 0.000

***

No. 13
Material: YErTl2Pt4
Method: DFT, PBE
State: optimized geometry

Geometry as POSCAR:
```
YErTl2Pt4
1.0
4.6325 0.0000 0.0000
-2.3162 4.0119 0.0000
0.0000 0.0000 8.9686
Pt Er Tl Y
4 1 2 1
Direct
0.0000 0.0000 0.6558 Pt
0.0000 0.0000 0.3442 Pt
0.3333 0.6667 0.1536 Pt
0.3333 0.6667 0.8464 Pt
0.0000 0.0000 0.0000 Er
0.6667 0.3333 0.2493 Tl
0.6667 0.3333 0.7507 Tl
0.3333 0.6667 0.5000 Y
```

## Properties
Magnetic moment, μB/f.u.: 0.01
DFT total energy, eV per atom: -5.7431

***

No. 14
Material: ErUPt
Method: DFT, PBE
State: optimized geometry

Geometry as POSCAR:
```
ErUPt
1.0
0.0000 3.4193 3.4193
3.4193 0.0000 3.4193
3.4193 3.4193 0.0000
U Er Pt
1 1 1
Direct
0.7500 0.7500 0.7500 U
0.2500 0.2500 0.2500 Er
0.0000 0.0000 0.0000 Pt
```

## Properties
Magnetic moment, μB/f.u.: 3.18
DFT total energy, eV per atom: -7.5477
Distance to the lowest polymorph of the same formula, eV per formula unit: 0.000

***

No. 15
Material: YEr3Pt4
Method: DFT, PBE
State: optimized geometry

Geometry as POSCAR:
```
YEr3Pt4
1.0
5.5393 0.0000 0.0000
0.0000 4.4875 0.0000
-0.0324 0.0000 6.9794
Er Pt Y
3 4 1
Direct
0.6408 0.5000 0.8185 Er
0.3590 0.0000 0.1812 Er
0.8587 0.5000 0.3179 Er
0.3463 0.5000 0.4519 Pt
0.6553 0.0000 0.5416 Pt
0.8419 0.0000 0.0462 Pt
0.1567 0.5000 0.9608 Pt
0.1413 0.0000 0.6819 Y
```

## Properties
Magnetic moment, μB/f.u.: 0.00
DFT total energy, eV per atom: -6.8486

***

No. 16
Material: YErPt2
Method: DFT, PBE
State: optimized geometry

Geometry as POSCAR:
```
YErPt2
1.0
-1.2666 2.3634 -3.6135
-6.4201 0.6965 2.7059
1.5702 4.6915 2.5180
Er Pt Y
2 4 2
Direct
0.5000 0.9316 0.8592 Er
0.0000 0.0684 0.3592 Er
0.0000 0.1996 0.8449 Pt
0.5000 0.8004 0.3449 Pt
0.5000 0.2870 0.1553 Pt
0.0000 0.7130 0.6553 Pt
0.0000 0.5685 0.1406 Y
0.5000 0.4315 0.6406 Y
```

## Properties
Magnetic moment, μB/f.u.: 0.00
DFT total energy, eV per atom: -7.0737
Distance to the lowest polymorph of the same formula, eV per formula unit: 0.000

***

No. 17
Material: YErPt2
Method: DFT, PBE
State: optimized geometry

Geometry as POSCAR:
```
YErPt2
1.0
5.5627 0.0000 0.0000
0.0000 4.4928 0.0000
-0.0749 0.0000 6.9990
Pt Er Y
4 2 2
Direct
0.6521 0.2500 0.5458 Pt
0.1575 0.7500 0.9574 Pt
0.8425 0.2500 0.0426 Pt
0.3479 0.7500 0.4542 Pt
0.3601 0.2500 0.1812 Er
0.6399 0.7500 0.8188 Er
0.1408 0.2500 0.6823 Y
0.8592 0.7500 0.3177 Y
```

## Properties
Magnetic moment, μB/f.u.: 0.00
DFT total energy, eV per atom: -7.0717
Distance to the lowest polymorph of the same formula, eV per formula unit: 0.008

***

No. 18
Material: YErPt2
Method: DFT, PBE
State: optimized geometry

Geometry as POSCAR:
```
YErPt2
1.0
-3.2172 1.6917 -2.6370
-3.7622 -0.9567 3.9763
1.1808 6.3801 2.6523
Er Y Pt
2 2 4
Direct
0.0000 0.8905 0.8179 Er
0.0000 0.1095 0.3179 Er
0.5000 0.6099 0.1815 Y
0.5000 0.3901 0.6815 Y
0.0000 0.5967 0.4560 Pt
0.5000 0.9056 0.5446 Pt
0.0000 0.4033 0.9560 Pt
0.5000 0.0944 0.0446 Pt
```

## Properties
Magnetic moment, μB/f.u.: 0.00
DFT total energy, eV per atom: -7.0711
Distance to the lowest polymorph of the same formula, eV per formula unit: 0.010

***

No. 19
Material: Er2Zn3Pt4
Method: DFT, PBE
State: optimized geometry

Geometry as POSCAR:
```
Er2Zn3Pt4
1.0
-8.0161 0.3208 -0.8577
6.1607 -4.9581 -1.6000
-0.8553 -3.2499 6.7780
Zn Pt Er
6 8 4
Direct
0.0210 0.4790 0.7500 Zn
0.4790 0.0210 0.2500 Zn
0.5210 0.9790 0.7500 Zn
0.0000 0.0000 0.5000 Zn
0.9790 0.5210 0.2500 Zn
0.5000 0.5000 0.0000 Zn
0.6920 0.8080 0.7500 Pt
0.1765 0.8235 0.5279 Pt
0.6765 0.3235 0.9721 Pt
0.8080 0.6920 0.2500 Pt
0.3080 0.1920 0.2500 Pt
0.3235 0.6765 0.0279 Pt
0.8235 0.1765 0.4721 Pt
0.1920 0.3080 0.7500 Pt
0.6100 0.3900 0.5872 Er
0.3900 0.6100 0.4128 Er
0.8900 0.1100 0.0872 Er
0.1100 0.8900 0.9128 Er
```

## Properties
Magnetic moment, μB/f.u.: 0.01
DFT total energy, eV per atom: -5.0367

***

No. 20
Material: ErZrPt
Method: DFT, PBE
State: optimized geometry

Geometry as POSCAR:
```
ErZrPt
1.0
-0.2468 -4.1625 1.9738
0.7426 -0.4522 4.5307
-3.5065 -1.0102 2.8226
Pt Zr Er
1 1 1
Direct
0.7500 0.7500 0.7500 Pt
0.0000 0.0000 0.0000 Zr
0.2500 0.2500 0.2500 Er
```

## Properties
Magnetic moment, μB/f.u.: 0.00
DFT total energy, eV per atom: -6.4546

***

No. 21
Material: RbErPu
Method: DFT, PBE
State: optimized geometry

Geometry as POSCAR:
```
RbErPu
1.0
-2.9555 -4.3902 2.3379
-1.6135 0.2301 5.5514
-5.5822 0.6722 1.3646
Er Pu Rb
1 1 1
Direct
0.2500 0.2500 0.2500 Er
0.7500 0.7500 0.7500 Pu
0.0000 0.0000 0.0000 Rb
```

## Properties
Magnetic moment, μB/f.u.: 7.98
DFT total energy, eV per atom: -5.0978
Distance to the lowest polymorph of the same formula, eV per formula unit: 0.532

***

No. 22
Material: RbErPu
Method: DFT, PBE
State: optimized geometry

Geometry as POSCAR:
```
RbErPu
1.0
1.2753 -5.6775 1.4044
-1.8115 -2.2675 5.2355
-4.3588 -4.1006 0.1380
Er Rb Pu
1 1 1
Direct
0.0000 0.0000 0.0000 Er
0.7500 0.7500 0.7500 Rb
0.2500 0.2500 0.2500 Pu
```

## Properties
Magnetic moment, μB/f.u.: 8.62
DFT total energy, eV per atom: -5.2750
Distance to the lowest polymorph of the same formula, eV per formula unit: 0.000

***

No. 23
Material: ErPuSc
Method: DFT, PBE
State: optimized geometry

Geometry as POSCAR:
```
ErPuSc
1.0
0.1466 -4.9194 1.2877
-3.8631 -3.0697 -1.2384
0.6228 -3.5513 -3.5889
Sc Pu Er
1 1 1
Direct
0.7500 0.7500 0.7500 Sc
0.2500 0.2500 0.2500 Pu
0.0000 0.0000 0.0000 Er
```

## Properties
Magnetic moment, μB/f.u.: 6.97
DFT total energy, eV per atom: -7.5003
Distance to the lowest polymorph of the same formula, eV per formula unit: 0.000

***

No. 24
Material: ErPuSc
Method: DFT, PBE
State: optimized geometry

Geometry as POSCAR:
```
ErPuSc
1.0
2.5765 1.4875 4.2228
-2.5765 1.4875 4.2228
0.0000 -2.9751 4.2228
Pu Er Sc
1 1 1
Direct
0.0000 0.0000 0.0000 Pu
0.2499 0.2499 0.2499 Er
0.7500 0.7500 0.7500 Sc
```

## Properties
Magnetic moment, μB/f.u.: 7.43
DFT total energy, eV per atom: -7.4909
Distance to the lowest polymorph of the same formula, eV per formula unit: 0.028

***

No. 25
Material: ErPuSe3
Method: DFT, PBE
State: optimized geometry

Geometry as POSCAR:
```
ErPuSe3
1.0
1.4443 4.6424 4.8154
-2.7987 -1.1343 -6.1406
-8.8188 -1.7633 4.3450
Se Er Pu
6 2 2
Direct
0.3548 0.6452 0.4331 Se
0.0918 0.9082 0.2500 Se
0.3548 0.6452 0.0669 Se
0.9082 0.0918 0.7500 Se
0.6452 0.3548 0.9331 Se
0.6452 0.3548 0.5669 Se
0.0000 0.0000 0.5000 Er
0.0000 0.0000 0.0000 Er
0.2501 0.7499 0.7500 Pu
0.7499 0.2501 0.2500 Pu
```

## Properties
Magnetic moment, μB/f.u.: 5.00
DFT total energy, eV per atom: -7.4963

***

No. 26
Material: SrErPu
Method: DFT, PBE
State: optimized geometry

Geometry as POSCAR:
```
SrErPu
1.0
-3.5273 -0.5753 4.4566
-5.4890 -1.3318 -0.8550
-1.9447 -5.1707 1.4547
Er Sr Pu
1 1 1
Direct
0.0000 0.0000 0.0000 Er
0.7500 0.7500 0.7500 Sr
0.2500 0.2500 0.2500 Pu
```

## Properties
Magnetic moment, μB/f.u.: 7.64
DFT total energy, eV per atom: -5.8716
Distance to the lowest polymorph of the same formula, eV per formula unit: 0.000